RbLiEr2F8 | PBE | relaxed

Computed properties:
Theoretical density: 5.0 Mg/m³
N(E_F): 0.000 states/eV/cell
DFT total energy: -5.945 eV/atom
Volume: 16.09 Å³/atom

abc: 4.235 6.328 7.247
angles: 84.76 86.37 89.86
Sites, in units of the cell vectors:
Rb 0.000 0.000 0.000
Li 0.000 0.000 0.500
Er 0.428 0.461 0.259
Er 0.572 0.539 0.741
F 0.067 0.440 0.768
F 0.195 0.157 0.310
F 0.378 0.691 0.472
F 0.460 0.699 0.005
F 0.540 0.301 0.995
F 0.622 0.309 0.528
F 0.805 0.843 0.690
F 0.933 0.560 0.232